# 1
The following is a PBE calculation of an optimized crystal structure of LaCoBi3, from Alexandria via LeMat-Bulk.

Unit cell a=5.2325 b=5.2325 c=5.2325 alpha=90.00 beta=90.00 gamma=90.00
Last column: nearest neighbours and their distance in Å.
Fractional coordinates of all 5 atoms:
Co 0.0000 0.0000 0.0000  6 Bi 2.62
Bi 0.0000 0.5000 0.0000  2 Co 2.62
Bi 0.0000 0.0000 0.5000  2 Co 2.62
Bi 0.5000 0.0000 0.0000  2 Co 2.62
La 0.5000 0.5000 0.5000  12 Bi 3.70

Space group = Pm-3m
Crystal system = cubic

=====

# 2
The following is a PBE calculation of an optimized crystal structure of Li2Tl3In, from Alexandria via LeMat-Bulk.

Unit cell a=3.3783 b=3.3783 c=12.4881 alpha=90.00 beta=90.00 gamma=90.00
Last column: nearest neighbours and their distance in Å.
Fractional coordinates of all 6 atoms:
Li 0.5000 0.5000 0.8568  8 Tl 2.98-3.06
Li 0.5000 0.5000 0.1432  8 Tl 2.98-3.06
Tl 0.0000 0.0000 0.0000  8 Li 2.98
Tl 0.0000 0.0000 0.7042  4 Li 3.06, 4 Tl 3.38
Tl 0.0000 0.0000 0.2958  4 Li 3.06, 4 Tl 3.38
In 0.5000 0.5000 0.5000  4 In 3.38, 8 Tl 3.49

Space group = P4/mmm
Crystal system = tetragonal

=====

# 3
The following is a PBE calculation of an optimized crystal structure of Tb2Pm6Nd5, from Alexandria via LeMat-Bulk.

Unit cell a=3.6570 b=11.8388 c=20.9201 alpha=90.00 beta=90.00 gamma=90.00
Last column: nearest neighbours and their distance in Å.
Fractional coordinates of all 26 atoms:
Tb 0.0000 0.3298 0.2888  3 Pm 3.37-3.66, 4 Nd 3.56-3.66, 2 Tb 3.66
Tb 0.0000 0.6702 0.7112  3 Pm 3.37-3.66, 4 Nd 3.56-3.66, 2 Tb 3.66
Tb 0.0000 0.8298 0.2112  3 Pm 3.37-3.66, 4 Nd 3.56-3.66, 2 Tb 3.66
Tb 0.0000 0.1702 0.7888  3 Pm 3.37-3.66, 4 Nd 3.56-3.66, 2 Tb 3.66
Pm 0.0000 0.0820 0.3679  1 Tb 3.37, 6 Nd 3.45-3.59, 4 Pm 3.55-3.66
Pm 0.0000 0.9180 0.6321  1 Tb 3.37, 6 Nd 3.45-3.59, 4 Pm 3.55-3.66
Pm 0.0000 0.5820 0.1321  1 Tb 3.37, 6 Nd 3.45-3.59, 4 Pm 3.55-3.66
Pm 0.0000 0.4180 0.8679  1 Tb 3.37, 6 Nd 3.45-3.59, 4 Pm 3.55-3.66
Pm 0.5000 0.3252 0.1374  2 Nd 3.39-3.54, 4 Pm 3.55-3.66, 2 Tb 3.66
Pm 0.5000 0.6748 0.8626  2 Nd 3.39-3.54, 4 Pm 3.55-3.66, 2 Tb 3.66
Pm 0.5000 0.8252 0.3626  2 Nd 3.39-3.54, 4 Pm 3.55-3.66, 2 Tb 3.66
Pm 0.5000 0.1748 0.6374  2 Nd 3.39-3.54, 4 Pm 3.55-3.66, 2 Tb 3.66
Pm 0.0000 0.5621 0.4198  6 Nd 3.57-3.70, 5 Pm 3.66-3.80, 1 Tb 3.88
Pm 0.0000 0.4379 0.5802  6 Nd 3.57-3.70, 5 Pm 3.66-3.80, 1 Tb 3.88
Pm 0.0000 0.0621 0.0802  6 Nd 3.57-3.70, 5 Pm 3.66-3.80, 1 Tb 3.88
Pm 0.0000 0.9379 0.9198  6 Nd 3.57-3.70, 5 Pm 3.66-3.80, 1 Tb 3.88
Nd 0.5000 0.3023 0.4467  6 Pm 3.59-3.70, 3 Nd 3.66-3.75, 2 Tb 3.79
Nd 0.5000 0.6977 0.5533  6 Pm 3.59-3.70, 3 Nd 3.66-3.75, 2 Tb 3.79
Nd 0.5000 0.8023 0.0533  6 Pm 3.59-3.70, 3 Nd 3.66-3.75, 2 Tb 3.79
Nd 0.5000 0.1977 0.9467  6 Pm 3.59-3.70, 3 Nd 3.66-3.75, 2 Tb 3.79
Nd 0.5000 0.5863 0.2737  5 Pm 3.39-3.57, 4 Tb 3.56-3.66, 2 Nd 3.66
Nd 0.5000 0.4137 0.7263  5 Pm 3.39-3.57, 4 Tb 3.56-3.66, 2 Nd 3.66
Nd 0.5000 0.0863 0.2263  5 Pm 3.39-3.57, 4 Tb 3.56-3.66, 2 Nd 3.66
Nd 0.5000 0.9137 0.7737  5 Pm 3.39-3.57, 4 Tb 3.56-3.66, 2 Nd 3.66
Nd 0.5000 0.5000 0.0000  6 Pm 3.45-3.54, 4 Nd 3.66-3.75
Nd 0.5000 0.0000 0.5000  6 Pm 3.45-3.54, 4 Nd 3.66-3.75

Space group = Pbam
Crystal system = orthorhombic

=====

Number 1: calculated formation energy -71 meV/atom, V 143.3 Å³/f.u., spin magnetization 0.9 μB/f.u.. Number 2: calculated formation energy -126 meV/atom, V 142.5 Å³/f.u., spin magnetization 0.0 μB/f.u.. Number 3: calculated formation energy 90 meV/atom, V 452.9 Å³/f.u., spin magnetization 0.0 μB/f.u..